No. 1
## AsIr4Pb (PBE)

Data for a geometry-optimized AsIr4Pb structure.

The total magnetization comes out at 0.00 μB per atom. The density comes out at 16.226 g/cm³.

Cell: 7.549 7.549 7.549 Å, 90.00 90.00 90.00°
Space group F-43m (No. 216)
Unique sites:
As 0.000 0.000 0.000 x4
Ir 0.125 0.125 0.625 x16
Pb 0.250 0.250 0.250 x4


No. 2
## AsIrPb2 (PBE)

Data for a geometry-optimized AsIrPb2 structure.

Its energy above the lowest structure with this stoichiometry is 189.6 meV per atom. The total magnetization comes out at 0.00 μB per atom. The density comes out at 11.337 g/cm³.

Cell: 3.569 3.679 15.206 Å, 90.00 90.00 90.00°
Space group Immm (No. 71)
Unique sites:
As 0.000 0.000 0.000 x2
Ir 0.000 0.000 0.500 x2
Pb 0.000 0.500 0.161 x4


No. 3
## As2Ir2Pb (PBE)

Data for a geometry-optimized As2Ir2Pb structure.

The total magnetization comes out at 0.00 μB per atom. The density comes out at 12.431 g/cm³.

Cell: 4.514 4.514 9.721 Å, 90.00 90.00 90.00°
Space group I4/mmm (No. 139)
Unique sites:
As 0.000 0.500 0.250 x4
Ir 0.000 0.000 0.139 x4
Pb 0.000 0.000 0.500 x2


Record order is preserved below.
ΔH_f (0 K): 0.57, 0.14, 0.04 eV per atom